Entry 1:
# InTeBr

A relaxed InTeBr crystal (GGA-PBE, Alexandria).

## Properties
ρ: 4268 kg/m³
final energy: -2.730 eV/atom
size of the total moment: 0.00 μB per formula unit
formation energy from raw total energies: -212 meV/atom
Fermi-level density of states: 0.1 states/eV/f.u.
crystal system: orthorhombic

a = 4.1031 Å, b = 8.3739 Å, c = 14.6008 Å
α = 90.00°, β = 90.00°, γ = 90.00°
Space group Fmm2 (No. 42)
Unique sites:
In 0.0000 0.0000 0.0000 (multiplicity 4)
Te 0.0000 0.0000 0.3745 (multiplicity 4)
Br 0.0000 0.0000 0.6378 (multiplicity 4)

Entry 2:
# TaIn2Rh

A relaxed TaIn2Rh crystal (GGA-PBE, Alexandria).

## Properties
ρ: 10526 kg/m³
final energy: -5.791 eV/atom
size of the total moment: 0.00 μB per formula unit
Fermi-level density of states: 2.5 states/eV/f.u.
crystal system: tetragonal
energy of formation: 146 kJ/mol of formula units

a = 7.5693 Å, b = 7.5693 Å, c = 5.6555 Å
α = 90.00°, β = 90.00°, γ = 90.00°
Space group I-42d (No. 122)
Unique sites:
Ta 0.0000 0.0000 0.0000 (multiplicity 4)
In 0.2246 0.2500 0.6250 (multiplicity 8)
Rh 0.0000 0.0000 0.5000 (multiplicity 4)

Entry 3:
# HoO3

A relaxed HoO3 crystal (GGA-PBE, Alexandria).

## Properties
ρ: 8178 kg/m³
final energy: -6.338 eV/atom
size of the total moment: 0.23 μB per formula unit
formation energy from raw total energies: -1475 meV/atom
Fermi-level density of states: 3.5 states/eV/f.u.
crystal system: hexagonal
energy above the most stable polymorph in this dataset: 66.5 meV/atom

a = 4.6401 Å, b = 4.6401 Å, c = 4.6377 Å
α = 90.00°, β = 90.00°, γ = 120.00°
Space group P6_3/mmc (No. 194)
Unique sites:
Ho 0.3333 0.6667 0.2500 (multiplicity 2)
O 0.1802 0.3605 0.7500 (multiplicity 6)

Entry 4:
# AlAsCl2

A relaxed AlAsCl2 crystal (GGA-PBE, Alexandria).

## Properties
ρ: 3159 kg/m³
final energy: -3.196 eV/atom
size of the total moment: 0.00 μB per formula unit
formation energy from raw total energies: -174 meV/atom
Fermi-level density of states: 2.1 states/eV/f.u.
crystal system: tetragonal
energy above the most stable polymorph in this dataset: 445.1 meV/atom

a = 3.2881 Å, b = 3.2881 Å, c = 8.4022 Å
α = 90.00°, β = 90.00°, γ = 90.00°
Space group P4mm (No. 99)
Unique sites:
Al 0.0000 0.0000 0.0000 (multiplicity 1)
As 0.5000 0.5000 0.1932 (multiplicity 1)
Cl 0.0000 0.0000 0.3853 (multiplicity 1)
Cl 0.5000 0.5000 0.8181 (multiplicity 1)

Entry 5:
# Cr2AsSe

A relaxed Cr2AsSe crystal (GGA-PBE, Alexandria).

## Properties
ρ: 5933 kg/m³
final energy: -6.999 eV/atom
size of the total moment: 6.91 μB per formula unit
formation energy from raw total energies: -154 meV/atom
Fermi-level density of states: 2.4 states/eV/f.u.
crystal system: trigonal
energy above the most stable polymorph in this dataset: 89.6 meV/atom

a = 3.7153 Å, b = 3.7153 Å, c = 18.1116 Å
α = 90.00°, β = 90.00°, γ = 120.00°
Space group R-3m (No. 166, hexagonal axes)
Unique sites:
Cr 0.0000 0.0000 0.2446 (multiplicity 6)
As 0.0000 0.0000 0.5000 (multiplicity 3)
Se 0.0000 0.0000 0.0000 (multiplicity 3)

Entry 6:
# Sc2MnAs

A relaxed Sc2MnAs crystal (GGA-PBE, Alexandria).

## Properties
ρ: 4711 kg/m³
final energy: -6.937 eV/atom
size of the total moment: 3.34 μB per formula unit
Fermi-level density of states: 4.9 states/eV/f.u.
crystal system: tetragonal
energy of formation: -122 kJ/mol of formula units

a = 3.7051 Å, b = 3.7051 Å, c = 5.6435 Å
α = 90.00°, β = 90.00°, γ = 90.00°
Space group P4mm (No. 99)
Unique sites:
Sc 0.0000 0.0000 0.0000 (multiplicity 1)
Sc 0.5000 0.5000 0.3135 (multiplicity 1)
Mn 0.5000 0.5000 0.7961 (multiplicity 1)
As 0.0000 0.0000 0.5063 (multiplicity 1)

Entry 7:
# Ce2Tm2Pb2C

A relaxed Ce2Tm2Pb2C crystal (GGA-PBE, Alexandria).

## Properties
ρ: 9030 kg/m³
final energy: -5.856 eV/atom
size of the total moment: 1.93 μB per formula unit
Fermi-level density of states: 14.2 states/eV/f.u.
crystal system: tetragonal
energy of formation: -342 kJ/mol of formula units

a = 4.8251 Å, b = 4.8251 Å, c = 16.5004 Å
α = 90.00°, β = 90.00°, γ = 90.00°
Space group I4/mmm (No. 139)
Unique sites:
Ce 0.0000 0.0000 0.1580 (multiplicity 4)
Tm 0.0000 0.5000 0.0000 (multiplicity 4)
Pb 0.0000 0.0000 0.3631 (multiplicity 4)
C 0.0000 0.0000 0.0000 (multiplicity 2)

Entry 8:
# Cr11NiS16

A relaxed Cr11NiS16 crystal (GGA-PBE, Alexandria).

## Properties
ρ: 4063 kg/m³
final energy: -6.993 eV/atom
size of the total moment: 33.55 μB per formula unit
formation energy from raw total energies: -648 meV/atom
Fermi-level density of states: 7.1 states/eV/f.u.
crystal system: triclinic
energy above the most stable polymorph in this dataset: 23.7 meV/atom

a = 6.9661 Å, b = 8.1527 Å, c = 8.2530 Å
α = 93.99°, β = 91.22°, γ = 90.42°
Space group P-1 (No. 2)
Unique sites:
Cr 0.0000 0.0000 0.0000 (multiplicity 1)
Cr 0.0149 0.7333 0.7307 (multiplicity 2)
Cr 0.2401 0.0113 0.5193 (multiplicity 2)
Cr 0.2539 0.7478 0.2522 (multiplicity 2)
Cr 0.2611 0.4888 0.9781 (multiplicity 2)
Cr 0.4881 0.7518 0.7615 (multiplicity 2)
Ni 0.5000 0.5000 0.5000 (multiplicity 1)
S 0.0093 0.7034 0.0316 (multiplicity 2)
S 0.0089 0.7938 0.4562 (multiplicity 2)
S 0.2418 0.0484 0.2201 (multiplicity 2)
S 0.2437 0.9524 0.7942 (multiplicity 2)
S 0.2572 0.4537 0.2790 (multiplicity 2)
S 0.2590 0.5396 0.7017 (multiplicity 2)
S 0.4921 0.7053 0.0424 (multiplicity 2)
S 0.4917 0.7971 0.4689 (multiplicity 2)

Entry 9:
# La2DyTe2Se2

A relaxed La2DyTe2Se2 crystal (GGA-PBE, Alexandria).

## Properties
ρ: 6158 kg/m³
final energy: -5.475 eV/atom
size of the total moment: 0.53 μB per formula unit
formation energy from raw total energies: -1516 meV/atom
Fermi-level density of states: 3.2 states/eV/f.u.
crystal system: tetragonal

a = 5.3248 Å, b = 5.3248 Å, c = 16.2337 Å
α = 90.00°, β = 90.00°, γ = 90.00°
Space group I4/mmm (No. 139)
Unique sites:
La 0.0000 0.0000 0.1188 (multiplicity 4)
Dy 0.0000 0.0000 0.5000 (multiplicity 2)
Te 0.0000 0.0000 0.3149 (multiplicity 4)
Se 0.0000 0.5000 0.0000 (multiplicity 4)

Entry 10:
# SrHf2NbRh

A relaxed SrHf2NbRh crystal (GGA-PBE, Alexandria).

## Properties
ρ: 8117 kg/m³
final energy: -7.388 eV/atom
size of the total moment: 0.82 μB per formula unit
Fermi-level density of states: 4.7 states/eV/f.u.
crystal system: tetragonal
energy of formation: 200 kJ/mol of formula units

a = 5.0728 Å, b = 5.0728 Å, c = 5.0910 Å
α = 90.00°, β = 90.00°, γ = 90.00°
Space group P4/mmm (No. 123)
Unique sites:
Sr 0.0000 0.0000 0.0000 (multiplicity 1)
Hf 0.0000 0.5000 0.5000 (multiplicity 2)
Nb 0.5000 0.5000 0.0000 (multiplicity 1)
Rh 0.5000 0.5000 0.5000 (multiplicity 1)

Entry 11:
# CsIO2F

A relaxed CsIO2F crystal (GGA-PBE, Alexandria).

## Properties
ρ: 3946 kg/m³
final energy: -2.817 eV/atom
size of the total moment: 2.99 μB per formula unit
formation energy from raw total energies: 21 meV/atom
Fermi-level density of states: 4.1 states/eV/f.u.
crystal system: tetragonal

a = 5.5106 Å, b = 5.5106 Å, c = 4.3074 Å
α = 90.00°, β = 90.00°, γ = 90.00°
Space group P4/mmm (No. 123)
Unique sites:
Cs 0.0000 0.0000 0.0000 (multiplicity 1)
I 0.5000 0.5000 0.0000 (multiplicity 1)
O 0.0000 0.5000 0.5000 (multiplicity 2)
F 0.5000 0.5000 0.5000 (multiplicity 1)

Entry 12:
# Tb12Tl5Ag2

A relaxed Tb12Tl5Ag2 crystal (GGA-PBE, Alexandria).

## Properties
ρ: 9261 kg/m³
final energy: -3.972 eV/atom
size of the total moment: 0.00 μB per formula unit
Fermi-level density of states: 21.3 states/eV/f.u.
crystal system: monoclinic
energy of formation: -228 kJ/mol of formula units

a = 17.1520 Å, b = 7.2764 Å, c = 9.0913 Å
α = 90.00°, β = 96.33°, γ = 90.00°
Space group C2/m (No. 12)
Unique sites:
Tb 0.0036 0.0000 0.1934 (multiplicity 4)
Tb 0.0411 0.5000 0.6861 (multiplicity 4)
Tb 0.1495 0.2442 0.0090 (multiplicity 8)
Tb 0.1592 0.2578 0.4206 (multiplicity 8)
Tl 0.0000 0.5000 0.0000 (multiplicity 2)
Tl 0.1988 0.0000 0.7355 (multiplicity 4)
Tl 0.2286 0.5000 0.7518 (multiplicity 4)
Ag 0.0000 0.1815 0.5000 (multiplicity 4)